Compound: Li2SiH
Source: Alexandria via LeMat-Bulk
Functional: GGA-PBEsol
Structure: relaxed

Lattice parameters (Å, degrees): 5.8736 5.8736 5.8736 90.00 90.00 90.00
Space group Fm-3m (No. 225)
Symmetry-distinct sites (fractional):
Li 0.2500 0.2500 0.2500 x8
Si 0.0000 0.0000 0.0000 x4
H 0.0000 0.0000 0.5000 x4

Computed properties:
Its total magnetization is 0.00 μB/f.u. As for the raw total energy: -2.84 eV/atom.

=====

Compound: Ta2CuIr
Source: Alexandria via LeMat-Bulk
Functional: GGA-PBEsol
Structure: relaxed

Lattice parameters (Å, degrees): 2.8096 4.5055 4.8150 90.00 93.77 90.00
Space group Pm (No. 6)
Symmetry-distinct sites (fractional):
Ta 0.0000 0.0000 0.0000 x1
Ta 0.1230 0.5000 0.6308 x1
Cu 0.5602 0.5000 0.1402 x1
Ir 0.5531 0.0000 0.4847 x1

Computed properties:
The energy of formation from the pure elements comes out at -0.243 eV/atom. Its total magnetization is 0.00 μB/f.u. As for the raw total energy: -10.06 eV/atom.

=====

Compound: Zr2Co
Source: Alexandria via LeMat-Bulk
Functional: GGA-PBEsol
Structure: relaxed

Lattice parameters (Å, degrees): 11.9742 11.9742 11.9742 90.00 90.00 90.00
Space group Fd-3m (No. 227, origin choice 2)
Symmetry-distinct sites (fractional):
Zr 0.0000 0.0000 0.0000 x16
Zr 0.0628 0.3750 0.8750 x48
Co 0.0276 0.0276 0.2224 x32

Computed properties:
The energy of formation from the pure elements comes out at -0.208 eV/atom. Its total magnetization is 0.00 μB/f.u. As for the raw total energy: -8.85 eV/atom.

=====

Compound: V9GaGe2
Source: Alexandria via LeMat-Bulk
Functional: GGA-PBEsol
Structure: relaxed

Lattice parameters (Å, degrees): 4.7039 4.7058 14.0909 90.00 90.00 90.00
Space group Pmmm (No. 47)
Symmetry-distinct sites (fractional):
V 0.0000 0.0000 0.0830 x2
V 0.0000 0.0000 0.2504 x2
V 0.0000 0.0000 0.4153 x2
V 0.2482 0.5000 0.1666 x4
V 0.2500 0.5000 0.5000 x2
V 0.5000 0.2521 0.3343 x4
V 0.5000 0.2539 0.0000 x2
Ga 0.5000 0.0000 0.1670 x2
Ge 0.0000 0.5000 0.0000 x1
Ge 0.0000 0.5000 0.3336 x2
Ge 0.5000 0.0000 0.5000 x1

Computed properties:
The energy of formation from the pure elements comes out at -0.320 eV/atom. Its total magnetization is 0.03 μB/f.u. As for the raw total energy: -8.65 eV/atom.